1.
The following is a meta-GGA SCAN calculation of a PBEsol-optimized structure of MgAl2Sb, from the Alexandria database.

Unit cell a=3.7478 b=3.7478 c=5.8457 alpha=90.00 beta=90.00 gamma=90.00
Closest atoms and distances in Å follow each position.
Fractional coordinates of all 4 atoms:
Sb  0.5000  0.5000  0.5000  2 Mg 2.92, 8 Al 3.03
Mg  0.5000  0.5000  0.0000  2 Sb 2.92, 8 Al 3.02
Al  0.0000  0.0000  0.7507  2 Al 2.91-2.93, 4 Mg 3.02, 4 Sb 3.03
Al  0.0000  0.0000  0.2493  2 Al 2.91-2.93, 4 Mg 3.02, 4 Sb 3.03

Calculated values
- Energy relative to the elements, uncorrected: 0.110 eV/atom
- Uncorrected energy: -14.324 eV per atom
- SG: P4/mmm, No. 123

***

2.
The following is a meta-GGA SCAN calculation of a PBEsol-optimized structure of ZrHgMo2, from the Alexandria database.

Unit cell a=3.1064 b=3.1064 c=9.0181 alpha=80.08 beta=80.08 gamma=60.00
Closest atoms and distances in Å follow each position.
Fractional coordinates of all 4 atoms:
Hg  0.2534  0.2534  0.2398  3 Mo 2.98, 3 Zr 3.06, 6 Hg 3.11
Mo  0.0098  0.0098  0.9707  3 Mo 2.53
Mo  0.7437  0.7437  0.7690  3 Mo 2.53
Zr  0.4931  0.4931  0.5206  3 Mo 2.83, 3 Hg 3.06, 6 Zr 3.11

Calculated values
- Uncorrected energy: -41.928 eV per atom
- ΔH_f (0 K): 0.230 eV/atom
- SG: R3m, No. 160